# 1
CeGdMnAg | PBE | relaxed

Unit cell a=5.1153 b=5.1153 c=5.1153 alpha=60.00 beta=60.00 gamma=60.00
Site moments in Bohr magnetons follow the coordinates.
Atoms (fractional coordinates):
Mn (0.7500, 0.7500, 0.7500)  -3.27
Gd (0.5000, 0.5000, 0.5000)  7.31
Ag (0.2500, 0.2500, 0.2500)  0.04
Ce (0.0000, 0.0000, 0.0000)  0.90

Results
N(E_F): 2.03 states/eV/atom
DFT formation energy: 0.055 eV/atom
space-group type: F-43m

# 2
ErZrRh | PBE | relaxed

Unit cell a=3.4008 b=3.4008 c=6.0565 alpha=106.31 beta=106.31 gamma=90.00
Site moments in Bohr magnetons follow the coordinates.
Atoms (fractional coordinates):
Rh (0.6562, 0.6562, 0.3125)  0.08
Zr (0.0258, 0.0258, 0.0516)  0.21
Er (0.3179, 0.3179, 0.6359)  0.23

Results
energy above the lowest structure with this stoichiometry: 0.00 eV per formula unit
N(E_F): 1.35 states/eV/atom
DFT formation energy: -0.486 eV/atom
space-group type: I4mm

# 3
PrBeNbN3 | PBE | relaxed

Unit cell a=3.2043 b=6.8995 c=6.9416 alpha=105.82 beta=90.00 gamma=90.00
Atoms (fractional coordinates):
Pr (0.2500, 0.1945, 0.2247)
Pr (0.7500, 0.8055, 0.7753)
Be (0.2500, 0.0805, 0.6019)
Be (0.7500, 0.9195, 0.3981)
Nb (0.2500, 0.6620, 0.1629)
Nb (0.7500, 0.3380, 0.8371)
N (0.7500, 0.8796, 0.1433)
N (0.2500, 0.1204, 0.8567)
N (0.2500, 0.8292, 0.4703)
N (0.7500, 0.1708, 0.5297)
N (0.7500, 0.4487, 0.1620)
N (0.2500, 0.5513, 0.8380)

Results
ΔE_f (raw): -6.5 eV/f.u.
N(E_F): 0.41 states/eV/atom
space-group type: P2_1/m

What did the first record say?
CeGdMnAg | PBE | relaxed

Unit cell a=5.1153 b=5.1153 c=5.1153 alpha=60.00 beta=60.00 gamma=60.00
Site moments in Bohr magnetons follow the coordinates.
Atoms (fractional coordinates):
Mn (0.7500, 0.7500, 0.7500)  -3.27
Gd (0.5000, 0.5000, 0.5000)  7.31
Ag (0.2500, 0.2500, 0.2500)  0.04
Ce (0.0000, 0.0000, 0.0000)  0.90

Results
N(E_F): 2.03 states/eV/atom
DFT formation energy: 0.055 eV/atom
space-group type: F-43m

Among the records above, which one has the lowest N(E_F)?
PrBeNbN3

What is the N(E_F) in the second record?
1.35 states/eV/atom